# VIn2O5 (GGA+U, relaxed)
# - M_tot (μB per formula unit) = 1.00
# - ΔE to the lowest computed polymorph (eV/atom) = 0.040
data_VIn2O5
_chemical_formula_sum 'V4 In8 O20'
_symmetry_space_group_name_H-M 'C m c m'
_symmetry_Int_Tables_number 63
_symmetry_space_group_name_Hall '-C 2c 2'
_cell_length_a 3.833
_cell_length_b 10.891
_cell_length_c 10.527
_cell_angle_alpha 90.00
_cell_angle_beta 90.00
_cell_angle_gamma 90.00
loop_
_atom_site_label
_atom_site_type_symbol
_atom_site_fract_x
_atom_site_fract_y
_atom_site_fract_z
V1 V 0.000 0.167 0.250
In1 In 0.000 0.139 0.565
O1 O 0.000 0.049 0.120
O2 O 0.000 0.285 0.750
O3 O 0.000 0.292 0.094